Below is a relaxed structure of La2MnAlPt6, with properties calculated at the GGA-PBE level.

Calculated values
- VASP energy: -66.651 eV per cell
- DFT formation energy: -0.76 eV per atom
- Density of states at the Fermi level: 5.079 states/eV/cell

Cell lengths 5.706, 8.380, 5.706 Å; angles 70.12, 59.98, 90.04 degrees
Positions (direct):
Pt1 0.251 0.255 0.499
Pt2 0.246 0.745 0.004
Pt3 0.251 0.255 0.996
Pt4 0.749 0.745 0.004
Pt5 0.749 0.745 0.501
Pt6 0.754 0.255 0.996
La1 0.290 0.870 0.420
La2 0.710 0.130 0.580
Al1 0.500 0.500 0.000
Mn1 0.000 0.000 0.000


Below is a relaxed structure of ReMo2, with properties calculated at the GGA-PBE level.

Calculated values
- VASP energy: -32.000 eV per cell
- DFT formation energy: 0.70 eV per atom
- Energy above the lowest structure with this stoichiometry: 660 meV/atom
- Density of states at the Fermi level: 5.421 states/eV/cell

Cell lengths 4.278, 4.278, 4.278 Å; angles 60.00, 60.00, 60.00 degrees
Positions (direct):
Re1 0.000 0.000 0.000
Mo1 0.750 0.750 0.750
Mo2 0.250 0.250 0.250


Below is a relaxed structure of Na3NbF, with properties calculated at the GGA-PBE level.

Calculated values
- Formation energy without anion corrections: 3.564 eV/f.u.
- VASP energy: -12.334 eV per cell
- Energy above the lowest structure with this stoichiometry: 855 meV/atom
- Density of states at the Fermi level: 0.186 states/eV/cell

Cell lengths 6.037, 6.037, 6.037 Å; angles 90.00, 90.00, 90.00 degrees
Positions (direct):
F1 0.500 0.500 0.500
Na1 0.500 0.000 0.000
Na2 0.000 0.500 0.000
Na3 0.000 0.000 0.500
Nb1 0.000 0.000 0.000


Below is a relaxed structure of Cs3AsSe3, with properties calculated at the GGA-PBE level.

Calculated values
- Formation energy without anion corrections: -6.454 eV/f.u.
- VASP energy: -96.471 eV per cell
- Density of states at the Fermi level: 0.000 states/eV/cell

Cell lengths 5.782, 14.510, 14.863 Å; angles 90.00, 90.00, 99.68 degrees
Positions (direct):
As1 0.219 0.557 0.705
As2 0.781 0.943 0.205
As3 0.219 0.057 0.795
As4 0.781 0.443 0.295
Se1 0.212 0.096 0.633
Se2 0.263 0.706 0.626
Se3 0.824 0.980 0.832
Se4 0.824 0.480 0.668
Se5 0.788 0.404 0.133
Se6 0.212 0.596 0.867
Se7 0.176 0.520 0.332
Se8 0.263 0.206 0.874
Se9 0.737 0.794 0.126
Se10 0.737 0.294 0.374
Se11 0.788 0.904 0.367
Se12 0.176 0.020 0.168
Cs1 0.351 0.565 0.106
Cs2 0.748 0.631 0.480
Cs3 0.649 0.435 0.894
Cs4 0.748 0.131 0.020
Cs5 0.221 0.279 0.220
Cs6 0.252 0.369 0.520
Cs7 0.779 0.221 0.720
Cs8 0.351 0.065 0.394
Cs9 0.779 0.721 0.780
Cs10 0.252 0.869 0.980
Cs11 0.649 0.935 0.606
Cs12 0.221 0.779 0.280


Below is a relaxed structure of BaNpP2Pd2, with properties calculated at the GGA-PBE level.

Calculated values
- VASP energy: -41.158 eV per cell
- DFT formation energy: -0.85 eV per atom
- Density of states at the Fermi level: 9.720 states/eV/cell

Cell lengths 4.235, 4.235, 8.374 Å; angles 90.00, 90.00, 120.00 degrees
Positions (direct):
Pd1 0.667 0.333 0.273
Pd2 0.333 0.667 0.727
Np1 0.000 0.000 0.500
Ba1 0.000 0.000 0.000
P1 0.667 0.333 0.702
P2 0.333 0.667 0.298


Below is a relaxed structure of DyZr2Np, with properties calculated at the GGA-PBE level.

Calculated values
- VASP energy: -33.403 eV per cell
- DFT formation energy: 0.31 eV per atom
- Energy above the lowest structure with this stoichiometry: 23 meV/atom
- Density of states at the Fermi level: 9.055 states/eV/cell

Cell lengths 3.765, 3.765, 7.114 Å; angles 90.00, 90.00, 90.00 degrees
Positions (direct):
Zr1 0.000 0.000 0.210
Zr2 0.000 0.000 0.790
Dy1 0.500 0.500 0.500
Np1 0.500 0.500 0.000